No. 1
Compound: Sr2La4Bi3O2
Source: Alexandria
Functional: PBE
Structure: optimized geometry

Structure (POSCAR):
```
Sr2La4Bi3O2
1.0
-2.4824 2.4824 13.5658
2.4824 -2.4824 13.5658
2.4824 2.4824 -13.5658
Sr La Bi O
2 4 3 2
Cartesian
0.0000 0.0000 5.3071
0.0000 0.0000 21.8246
2.4824 0.0000 2.2430
2.4824 0.0000 11.3228
0.0000 2.4824 2.2430
0.0000 2.4824 11.3228
0.0000 0.0000 8.8118
0.0000 0.0000 13.5658
0.0000 0.0000 18.3199
0.0000 0.0000 2.7028
0.0000 0.0000 24.4289
```

Output
As for the total DFT energy (no corrections): -5.693 eV per atom. The volume is 334.4 Å³/f.u. The total magnetization comes out at 0.0 μB/cell. As for the formation energy without anion corrections: -1636 meV/atom.

=====

No. 2
Compound: TiSb3Pd12
Source: Alexandria
Functional: PBE
Structure: optimized geometry

Structure (POSCAR):
```
TiSb3Pd12
1.0
4.0251 0.0000 0.0000
0.0000 4.0251 0.0000
0.0000 0.0000 16.1010
Ti Sb Pd
1 3 12
Cartesian
0.0000 0.0000 0.0000
0.0000 0.0000 3.9673
0.0000 0.0000 8.0505
0.0000 0.0000 12.1337
0.0000 2.0126 1.8841
0.0000 2.0126 6.0016
0.0000 2.0126 10.0994
0.0000 2.0126 14.2170
2.0126 0.0000 1.8841
2.0126 0.0000 6.0016
2.0126 0.0000 10.0994
2.0126 0.0000 14.2170
2.0126 2.0126 0.0000
2.0126 2.0126 3.9575
2.0126 2.0126 8.0505
2.0126 2.0126 12.1436
```

Output
As for the total DFT energy (no corrections): -5.592 eV per atom. The volume is 260.9 Å³/f.u. The total magnetization comes out at 0.0 μB/cell. As for the formation energy without anion corrections: -431 meV/atom.

=====

No. 3
Compound: BeCu2Tc
Source: Alexandria
Functional: PBE
Structure: optimized geometry

Structure (POSCAR):
```
BeCu2Tc
1.0
2.6244 0.0000 0.0000
0.0000 2.6244 0.0000
0.0000 0.0000 6.6604
Be Cu Tc
1 2 1
Cartesian
0.0000 0.0000 0.0000
1.3122 1.3122 1.3656
1.3122 1.3122 5.2948
0.0000 0.0000 3.3302
```

Output
The calculation puts the energy relative to the elements at 58 meV/atom. As for the total DFT energy (no corrections): -5.513 eV per atom. The volume is 45.9 Å³/f.u. The total magnetization comes out at 0.0 μB/cell.

=====

No. 4
Compound: CsCr
Source: Alexandria
Functional: PBE
Structure: optimized geometry

Structure (POSCAR):
```
CsCr
1.0
-6.7535 6.7535 2.1619
6.7535 -6.7535 2.1619
6.7535 6.7535 -2.1619
Cs Cr
4 4
Cartesian
2.9710 1.3074 0.0000
5.4461 -3.7825 2.1619
1.3074 10.5360 0.0000
3.7825 5.4461 2.1619
7.0329 0.9051 0.0000
0.9051 6.4742 0.0000
5.8484 0.2794 2.1619
-0.2794 5.8484 2.1619
```

Output
The calculation puts the energy relative to the elements at 966 meV/atom. As for the total DFT energy (no corrections): -4.272 eV per atom. The volume is 98.6 Å³/f.u. The total magnetization comes out at 1.1 μB/cell. As for the energy above the most stable polymorph in this dataset: 0.000 eV per atom.

=====

No. 5
Compound: La2Cl
Source: Alexandria
Functional: PBE
Structure: optimized geometry

Structure (POSCAR):
```
La2Cl
1.0
5.4098 0.0000 0.0000
-2.7049 4.6850 0.0000
0.0000 0.0000 3.3073
La Cl
2 1
Cartesian
0.0000 3.1233 0.0000
2.7049 1.5617 0.0000
0.0000 0.0000 1.6537
```

Output
As for the total DFT energy (no corrections): -4.021 eV per atom. The volume is 83.8 Å³/f.u. The total magnetization comes out at 0.7 μB/cell. As for the energy above the most stable polymorph in this dataset: 0.885 eV per atom. As for the formation energy without anion corrections: -121 meV/atom.

=====

No. 6
Compound: HoTm2Sc3As6
Source: Alexandria
Functional: PBE
Structure: optimized geometry

Structure (POSCAR):
```
HoTm2Sc3As6
1.0
3.4487 -5.9729 0.0000
3.4487 5.9729 0.0000
-2.2957 0.0000 6.4863
Ho Tm Sc As
1 2 3 6
Cartesian
0.0000 0.0000 0.0000
3.4487 1.9919 0.0000
3.4487 -1.9919 0.0000
2.3008 3.9863 3.2432
2.3008 0.0000 3.2432
2.3008 -3.9863 3.2432
1.1552 1.9991 1.7012
0.0120 0.0000 4.7865
1.1552 -1.9991 1.7012
3.4464 1.9991 4.7852
4.5896 0.0000 1.6999
3.4464 -1.9991 4.7852
```

Output
The calculation puts the energy relative to the elements at -1436 meV/atom. As for the total DFT energy (no corrections): -6.471 eV per atom. The volume is 267.2 Å³/f.u. The total magnetization comes out at 0.0 μB/cell.